# PBE Ba3Ac3PrTe8, optimized geometry
data_Ba3Ac3PrTe8
_chemical_formula_sum 'Ba9 Ac9 Pr3 Te24'
_space_group_name_H-M_alt 'R -3 m'
_space_group_IT_number 166
_space_group_name_Hall '-R 3 2"'
_cell_length_a 9.5463
_cell_length_b 9.5463
_cell_length_c 24.2490
_cell_angle_alpha 90.00
_cell_angle_beta 90.00
_cell_angle_gamma 120.00
loop_
_atom_site_label
_atom_site_type_symbol
_atom_site_fract_x
_atom_site_fract_y
_atom_site_fract_z
_atom_site_occupancy
Ba1 Ba 0.0000 0.5000 0.0000 1
Ac1 Ac 0.0000 0.5000 0.5000 1
Pr1 Pr 0.0000 0.0000 0.5000 1
Te1 Te 0.0000 0.0000 0.2458 1
Te2 Te 0.0077 0.5038 0.2428 1
# Magnetic moment   0.0 μB per formula unit

# PBE Ba3AcPr3Te8, optimized geometry
data_Ba3AcPr3Te8
_chemical_formula_sum 'Ba9 Ac3 Pr9 Te24'
_space_group_name_H-M_alt 'R -3 m'
_space_group_IT_number 166
_space_group_name_Hall '-R 3 2"'
_cell_length_a 9.3296
_cell_length_b 9.3296
_cell_length_c 24.0660
_cell_angle_alpha 90.00
_cell_angle_beta 90.00
_cell_angle_gamma 120.00
loop_
_atom_site_label
_atom_site_type_symbol
_atom_site_fract_x
_atom_site_fract_y
_atom_site_fract_z
_atom_site_occupancy
Ba1 Ba 0.0000 0.5000 0.0000 1
Ac1 Ac 0.0000 0.0000 0.5000 1
Pr1 Pr 0.0000 0.5000 0.5000 1
Te1 Te 0.0000 0.0000 0.2422 1
Te2 Te 0.0117 0.5059 0.7564 1
# Magnetic moment   0.0 μB per formula unit

# PBE BaAc2PrTl4, optimized geometry
data_BaAc2PrTl4
_chemical_formula_sum 'Ba3 Ac6 Pr3 Tl12'
_space_group_name_H-M_alt 'R -3 m'
_space_group_IT_number 166
_space_group_name_Hall '-R 3 2"'
_cell_length_a 5.8387
_cell_length_b 5.8387
_cell_length_c 28.5785
_cell_angle_alpha 90.00
_cell_angle_beta 90.00
_cell_angle_gamma 120.00
loop_
_atom_site_label
_atom_site_type_symbol
_atom_site_fract_x
_atom_site_fract_y
_atom_site_fract_z
_atom_site_occupancy
Ba1 Ba 0.0000 0.0000 0.0000 1
Ac1 Ac 0.0000 0.0000 0.2519 1
Pr1 Pr 0.0000 0.0000 0.5000 1
Tl1 Tl 0.0000 0.0000 0.1290 1
Tl2 Tl 0.0000 0.0000 0.3820 1
# Magnetic moment   0.0 μB per formula unit

Total DFT energy (no corrections)
In order: -217.0, -219.6, -81.4
Unit: eV for the cell shown